# 1
# LaPrCl6, relaxed, DFT PBE-GGA
# Volume ... 26.496 Å³/atom
data_LaPrCl6
_chemical_formula_sum 'La1 Pr1 Cl6'
_cell_length_a 7.5203
_cell_length_b 7.5203
_cell_length_c 4.3278
_cell_angle_alpha 90.00
_cell_angle_beta 90.00
_cell_angle_gamma 120.00
_space_group_name_H-M_alt 'P -6'
_space_group_IT_number 174
loop_
_space_group_symop_operation_xyz
'x,y,z'
'-x+y,-x,-z'
'-y,x-y,z'
'x,y,-z'
'-x+y,-x,z'
'-y,x-y,-z'
loop_
_atom_site_label
_atom_site_type_symbol
_atom_site_fract_x
_atom_site_fract_y
_atom_site_fract_z
_atom_site_occupancy
La1 La 0.0000 0.0000 0.0000 1
Pr1 Pr 0.3333 0.6667 0.5000 1
Cl1 Cl 0.0575 0.6361 0.0000 1
Cl2 Cl 0.2781 0.0292 0.5000 1



# 2
# LaPrSnCl2, relaxed, DFT PBE-GGA
# Volume ... 33.533 Å³/atom
data_LaPrSnCl2
_chemical_formula_sum 'La1 Pr1 Sn1 Cl2'
_cell_length_a 4.4523
_cell_length_b 4.4523
_cell_length_c 9.7666
_cell_angle_alpha 90.00
_cell_angle_beta 90.00
_cell_angle_gamma 120.00
_space_group_name_H-M_alt 'P 3 m 1'
_space_group_IT_number 156
loop_
_space_group_symop_operation_xyz
'x,y,z'
'-y,x-y,z'
'-x+y,-x,z'
'-y,-x,z'
'-x+y,y,z'
'x,x-y,z'
loop_
_atom_site_label
_atom_site_type_symbol
_atom_site_fract_x
_atom_site_fract_y
_atom_site_fract_z
_atom_site_occupancy
La1 La 0.0000 0.0000 0.0000 1
Pr1 Pr 0.6667 0.3333 0.3795 1
Sn1 Sn 0.3333 0.6667 0.1910 1
Cl1 Cl 0.0000 0.0000 0.5294 1
Cl2 Cl 0.6667 0.3333 0.8500 1



# 3
# LaPuCl6, relaxed, DFT PBE-GGA
# Volume ... 25.827 Å³/atom
data_LaPuCl6
_chemical_formula_sum 'La1 Pu1 Cl6'
_cell_length_a 7.4506
_cell_length_b 7.4506
_cell_length_c 4.2979
_cell_angle_alpha 90.00
_cell_angle_beta 90.00
_cell_angle_gamma 120.00
_space_group_name_H-M_alt 'P -6'
_space_group_IT_number 174
loop_
_space_group_symop_operation_xyz
'x,y,z'
'-x+y,-x,-z'
'-y,x-y,z'
'x,y,-z'
'-x+y,-x,z'
'-y,x-y,-z'
loop_
_atom_site_label
_atom_site_type_symbol
_atom_site_fract_x
_atom_site_fract_y
_atom_site_fract_z
_atom_site_occupancy
La1 La 0.0000 0.0000 0.0000 1
Pu1 Pu 0.3333 0.6667 0.5000 1
Cl1 Cl 0.0586 0.6347 0.0000 1
Cl2 Cl 0.2810 0.0285 0.5000 1



# 4
# LaSmSbCl2, relaxed, DFT PBE-GGA
# Volume ... 34.986 Å³/atom
data_LaSmSbCl2
_chemical_formula_sum 'La1 Sm1 Sb1 Cl2'
_cell_length_a 4.3279
_cell_length_b 4.3279
_cell_length_c 10.7838
_cell_angle_alpha 90.00
_cell_angle_beta 90.00
_cell_angle_gamma 120.00
_space_group_name_H-M_alt 'P 3 m 1'
_space_group_IT_number 156
loop_
_space_group_symop_operation_xyz
'x,y,z'
'-y,x-y,z'
'-x+y,-x,z'
'-y,-x,z'
'-x+y,y,z'
'x,x-y,z'
loop_
_atom_site_label
_atom_site_type_symbol
_atom_site_fract_x
_atom_site_fract_y
_atom_site_fract_z
_atom_site_occupancy
La1 La 0.0000 0.0000 0.0000 1
Sm1 Sm 0.6667 0.3333 0.6594 1
Sb1 Sb 0.3333 0.6667 0.8235 1
Cl1 Cl 0.0000 0.0000 0.5189 1
Cl2 Cl 0.6667 0.3333 0.1477 1



# 5
# La2SmCl, relaxed, DFT PBE-GGA
# Volume ... 35.506 Å³/atom
data_La2SmCl
_chemical_formula_sum 'La4 Sm2 Cl2'
_cell_length_a 11.482
_cell_length_b 3.786
_cell_length_c 6.535
_cell_angle_alpha 90.00
_cell_angle_beta 90.00
_cell_angle_gamma 90.00
_space_group_name_H-M_alt 'A m m 2'
_space_group_IT_number 38
loop_
_space_group_symop_operation_xyz
'x,y,z'
'-x,-y,z'
'-x,y,z'
'x,-y,z'
'x,y+1/2,z+1/2'
'-x,-y+1/2,z+1/2'
'-x,y+1/2,z+1/2'
'x,-y+1/2,z+1/2'
loop_
_atom_site_label
_atom_site_type_symbol
_atom_site_fract_x
_atom_site_fract_y
_atom_site_fract_z
_atom_site_occupancy
La1 La 0.242 0.000 0.000 1
Sm1 Sm 0.500 0.000 0.666 1
Cl1 Cl 0.000 0.000 0.000 1



# 6
# LaSmCl3, relaxed, DFT PBE-GGA
# Volume ... 29.718 Å³/atom
data_LaSmCl3
_chemical_formula_sum 'La4 Sm4 Cl12'
_cell_length_a 15.748
_cell_length_b 4.060
_cell_length_c 10.522
_cell_angle_alpha 90.00
_cell_angle_beta 117.94
_cell_angle_gamma 90.00
_space_group_name_H-M_alt 'C 1 2/m 1'
_space_group_IT_number 12
loop_
_space_group_symop_operation_xyz
'x,y,z'
'-x,-y,-z'
'-x,y,-z'
'x,-y,z'
'x+1/2,y+1/2,z'
'-x+1/2,-y+1/2,-z'
'-x+1/2,y+1/2,-z'
'x+1/2,-y+1/2,z'
loop_
_atom_site_label
_atom_site_type_symbol
_atom_site_fract_x
_atom_site_fract_y
_atom_site_fract_z
_atom_site_occupancy
La1 La 0.092 0.000 0.445 1
Sm1 Sm 0.142 0.500 0.798 1
Cl1 Cl 0.041 0.500 0.227 1
Cl2 Cl 0.160 0.000 0.006 1
Cl3 Cl 0.232 0.500 0.625 1



# 7
# LiMo6Cl13, relaxed, DFT PBE-GGA
# Volume ... 23.559 Å³/atom
data_LiMo6Cl13
_chemical_formula_sum 'Li2 Mo12 Cl26'
_cell_length_a 8.769
_cell_length_b 8.930
_cell_length_c 13.796
_cell_angle_alpha 95.47
_cell_angle_beta 102.88
_cell_angle_gamma 113.82
_space_group_name_H-M_alt 'P -1'
_space_group_IT_number 2
loop_
_space_group_symop_operation_xyz
'x,y,z'
'-x,-y,-z'
loop_
_atom_site_label
_atom_site_type_symbol
_atom_site_fract_x
_atom_site_fract_y
_atom_site_fract_z
_atom_site_occupancy
Li1 Li 0.029 0.268 0.273 1
Mo1 Mo 0.294 0.003 0.431 1
Mo2 Mo 0.313 0.382 0.048 1
Mo3 Mo 0.354 0.546 0.900 1
Mo4 Mo 0.392 0.769 0.471 1
Mo5 Mo 0.437 0.004 0.620 1
Mo6 Mo 0.451 0.305 0.912 1
Cl1 Cl 0.028 0.019 0.344 1
Cl2 Cl 0.065 0.219 0.109 1
Cl3 Cl 0.140 0.249 0.870 1
Cl4 Cl 0.144 0.784 0.520 1
Cl5 Cl 0.159 0.589 0.759 1
Cl6 Cl 0.231 0.618 0.034 1
Cl7 Cl 0.250 0.463 0.425 1
Cl8 Cl 0.260 0.781 0.294 1
Cl9 Cl 0.343 0.218 0.573 1
Cl10 Cl 0.376 0.032 0.793 1
Cl11 Cl 0.414 0.159 0.056 1
Cl12 Cl 0.467 0.218 0.348 1
Cl13 Cl 0.498 0.473 0.779 1



# 8
# Rb2LiMoCl6, relaxed, DFT PBE-GGA
# Volume ... 25.142 Å³/atom
data_Rb2LiMoCl6
_chemical_formula_sum 'Rb8 Li4 Mo4 Cl24'
_cell_length_a 10.019
_cell_length_b 10.019
_cell_length_c 10.019
_cell_angle_alpha 90.00
_cell_angle_beta 90.00
_cell_angle_gamma 90.00
_space_group_name_H-M_alt 'F m -3 m'
_space_group_IT_number 225
_space_group_name_Hall '-F 4 2 3'
loop_
_atom_site_label
_atom_site_type_symbol
_atom_site_fract_x
_atom_site_fract_y
_atom_site_fract_z
_atom_site_occupancy
Rb1 Rb 0.250 0.250 0.250 1
Li1 Li 0.000 0.000 0.000 1
Mo1 Mo 0.000 0.000 0.500 1
Cl1 Cl 0.000 0.000 0.255 1



# 9
# Na2LiNiCl6, relaxed, DFT PBE-GGA
# Volume ... 21.192 Å³/atom
data_Na2LiNiCl6
_chemical_formula_sum 'Na8 Li4 Ni4 Cl24'
_cell_length_a 9.464
_cell_length_b 9.464
_cell_length_c 9.464
_cell_angle_alpha 90.00
_cell_angle_beta 90.00
_cell_angle_gamma 90.00
_space_group_name_H-M_alt 'F m -3 m'
_space_group_IT_number 225
_space_group_name_Hall '-F 4 2 3'
loop_
_atom_site_label
_atom_site_type_symbol
_atom_site_fract_x
_atom_site_fract_y
_atom_site_fract_z
_atom_site_occupancy
Na1 Na 0.250 0.250 0.250 1
Li1 Li 0.000 0.000 0.000 1
Ni1 Ni 0.000 0.000 0.500 1
Cl1 Cl 0.000 0.000 0.258 1



# 10
# LiOsCl6, relaxed, DFT PBE-GGA
# Volume ... 23.198 Å³/atom
data_LiOsCl6
_chemical_formula_sum 'Li3 Os3 Cl18'
_cell_length_a 6.2046
_cell_length_b 6.2046
_cell_length_c 16.6993
_cell_angle_alpha 90.00
_cell_angle_beta 90.00
_cell_angle_gamma 120.00
_space_group_name_H-M_alt 'R -3'
_space_group_IT_number 148
_space_group_name_Hall '-R 3'
loop_
_atom_site_label
_atom_site_type_symbol
_atom_site_fract_x
_atom_site_fract_y
_atom_site_fract_z
_atom_site_occupancy
Li1 Li 0.0000 0.0000 0.0000 1
Os1 Os 0.0000 0.0000 0.5000 1
Cl1 Cl 0.0028 0.3075 0.5798 1



# 11
# LiTl2OsCl6, relaxed, DFT PBE-GGA
# Volume ... 24.743 Å³/atom
data_LiTl2OsCl6
_chemical_formula_sum 'Li2 Tl4 Os2 Cl12'
_cell_length_a 12.645
_cell_length_b 6.726
_cell_length_c 5.853
_cell_angle_alpha 90.00
_cell_angle_beta 96.15
_cell_angle_gamma 90.00
_space_group_name_H-M_alt 'C 1 2/m 1'
_space_group_IT_number 12
loop_
_space_group_symop_operation_xyz
'x,y,z'
'-x,-y,-z'
'-x,y,-z'
'x,-y,z'
'x+1/2,y+1/2,z'
'-x+1/2,-y+1/2,-z'
'-x+1/2,y+1/2,-z'
'x+1/2,-y+1/2,z'
loop_
_atom_site_label
_atom_site_type_symbol
_atom_site_fract_x
_atom_site_fract_y
_atom_site_fract_z
_atom_site_occupancy
Li1 Li 0.000 0.000 0.000 1
Tl1 Tl 0.203 0.000 0.684 1
Os1 Os 0.000 0.500 0.500 1
Cl1 Cl 0.073 0.252 0.276 1
Cl2 Cl 0.166 0.500 0.734 1



# 12
# Li2PaCl6, relaxed, DFT PBE-GGA
# Volume ... 24.627 Å³/atom
data_Li2PaCl6
_chemical_formula_sum 'Li4 Pa2 Cl12'
_cell_length_a 6.194
_cell_length_b 6.194
_cell_length_c 11.554
_cell_angle_alpha 90.00
_cell_angle_beta 90.00
_cell_angle_gamma 90.00
_space_group_name_H-M_alt 'P 42/m n m'
_space_group_IT_number 136
_space_group_name_Hall '-P 4n 2n'
loop_
_atom_site_label
_atom_site_type_symbol
_atom_site_fract_x
_atom_site_fract_y
_atom_site_fract_z
_atom_site_occupancy
Li1 Li 0.000 0.000 0.166 1
Pa1 Pa 0.000 0.000 0.500 1
Cl1 Cl 0.196 0.196 0.000 1
Cl2 Cl 0.202 0.202 0.329 1



no.,final energy (eV per atom)
1,-4.951
2,-5.057
3,-5.935
4,-5.232
5,-4.679
6,-4.896
7,-5.557
8,-4.079
9,-3.262
10,-3.741
11,-3.713
12,-4.554